[1]
Material: BeAsPd
Method: DFT, PBE
State: relaxed

a = 10.961 Å, b = 3.196 Å, c = 4.859 Å
α = 90.00°, β = 90.00°, γ = 90.00°
Space group Amm2 (No. 38)
Unique sites:
Be (0.148, 0.000, 0.000) (multiplicity 4)
As (0.310, 0.000, 0.645) (multiplicity 4)
Pd (0.000, 0.000, 0.357) (multiplicity 2)
Pd (0.500, 0.000, 0.311) (multiplicity 2)

ΔE_f   -13.4 kJ/mol of formula units
Energy above the most stable polymorph in this dataset   0.36 eV per formula unit
Total DFT energy (no corrections)   -0.33582 Ry/atom
V   14.18 A^3/atom

---

[2]
Material: Ac8Os3Br4N
Method: DFT, PBE
State: relaxed

a = 8.5103 Å, b = 8.5103 Å, c = 24.7014 Å
α = 90.00°, β = 90.00°, γ = 120.00°
Space group R-3m (No. 166, hexagonal axes)
Unique sites:
Ac (0.0000, 0.0000, 0.2345) (multiplicity 6)
Ac (0.0134, 0.5067, 0.2283) (multiplicity 18)
Os (0.0000, 0.5000, 0.5000) (multiplicity 9)
Br (0.0000, 0.0000, 0.0000) (multiplicity 3)
Br (0.0000, 0.5000, 0.0000) (multiplicity 9)
N (0.0000, 0.0000, 0.5000) (multiplicity 3)

Formation energy without anion corrections   -0.846 eV per atom
Total DFT energy (no corrections)   -0.43690 Ry/atom
V   32.28 A^3/atom

---

[3]
Material: PrSeS
Method: DFT, PBE
State: relaxed

a = 4.250 Å, b = 5.590 Å, c = 13.709 Å
α = 90.00°, β = 90.00°, γ = 90.00°
Space group Immm (No. 71)
Unique sites:
Pr (0.000, 0.000, 0.154) (multiplicity 4)
Se (0.000, 0.284, 0.500) (multiplicity 4)
S (0.000, 0.500, 0.213) (multiplicity 4)

Energy above the most stable polymorph in this dataset   0.04 eV per formula unit
Formation energy without anion corrections   -1.683 eV per atom
Total DFT energy (no corrections)   -0.42731 Ry/atom
V   27.14 A^3/atom

---

[4]
Material: Ba2AlTl
Method: DFT, PBE
State: relaxed

a = 4.017 Å, b = 4.017 Å, c = 9.891 Å
α = 90.00°, β = 90.00°, γ = 90.00°
Space group P4mm (No. 99)
Unique sites:
Ba (0.000, 0.000, 0.000) (multiplicity 1)
Ba (0.500, 0.500, 0.395) (multiplicity 1)
Al (0.500, 0.500, 0.773) (multiplicity 1)
Tl (0.000, 0.000, 0.630) (multiplicity 1)

ΔE_f   -16.2 kJ/mol of formula units
Energy above the most stable polymorph in this dataset   0.70 eV per formula unit
Total DFT energy (no corrections)   -0.18599 Ry/atom
V   39.91 A^3/atom